# Mg2ReAu (PBE-GGA, relaxed)
data_Mg2ReAu
_cell_length_a 2.810
_cell_length_b 2.810
_cell_length_c 8.918
_cell_angle_alpha 90.00
_cell_angle_beta 90.00
_cell_angle_gamma 90.00
_space_group_name_H-M_alt 'P 1'
_space_group_IT_number 1
_space_group_name_Hall 'P 1'
loop_
_atom_site_label
_atom_site_type_symbol
_atom_site_fract_x
_atom_site_fract_y
_atom_site_fract_z
Mg1 Mg 0.000 0.000 0.000
Mg2 Mg 0.500 0.500 0.290
Re1 Re 0.000 0.000 0.524
Au1 Au 0.500 0.500 0.766
# Formation enthalpy at 0 K = 0.21 eV per atom
# Density of states at the Fermi level = 0.564 states/eV/atom
# Excess energy over the best structure of this formula in the dataset = 217 meV per atom
# Magnetization = 0.000 μB/cell
# Calculated density = 10181 kg/m3